DFT (PBE) results for a geometry-optimized Pm4NdDy3 structure.

abc: 5.753 3.615 13.422
angles: 89.94 102.37 90.00
Element x y z (fractional)
Dy  0.000  0.500  0.000
Dy  0.848  0.000  0.696
Dy  0.152  0.000  0.304
Nd  0.500  0.000  0.000
Pm  0.605  0.499  0.210
Pm  0.395  0.501  0.790
Pm  0.276  0.498  0.552
Pm  0.724  0.502  0.448

Summary:
Crystal system: monoclinic
Excess energy over the best structure of this formula in the dataset in meV per atom: 179
Energy relative to the elements in meV per atom: 206
Energy in eV per atom: -4.4906